No. 1
## AcZnRhO4 (PBE)

Data for crystalline AcZnRhO4 at its relaxed geometry.

The symmetry is I-4 (82). For the uncorrected formation energy, the calculation gives -1541 meV/atom. As for the total moment: 2.00 μB/f.u. The value obtained for the total energy is -6.19 eV/atom.

POSCAR file:
```
AcZnRhO4
1.0
5.916 0.000 0.000
0.000 5.916 0.000
-2.958 -2.958 3.300
Zn O Ac Rh
1 4 1 1
Cartesian
0.000 2.958 1.650 Zn
-0.998 -1.615 2.710 O
0.998 1.615 2.710 O
4.573 1.960 0.590 O
1.343 3.956 0.590 O
0.000 0.000 0.000 Ac
2.958 2.958 0.000 Rh
```

No. 2
## Ac2ZrRh3O12 (PBE)

Data for crystalline Ac2ZrRh3O12 at its relaxed geometry.

The symmetry is R-3m (166). For the uncorrected formation energy, the calculation gives -1651 meV/atom. As for the total moment: 0.12 μB/f.u. The value obtained for the total energy is -7.11 eV/atom.

POSCAR file:
```
Ac2ZrRh3O12
1.0
6.779 -0.181 -0.128
3.191 5.984 -0.128
3.191 1.857 5.690
O Rh Ac Zr
12 3 2 1
Cartesian
8.193 6.756 4.792 O
7.416 1.977 3.882 O
3.240 3.873 0.642 O
9.921 5.775 1.991 O
5.745 5.684 1.552 O
4.968 0.905 0.642 O
5.745 3.344 4.851 O
7.416 4.317 0.582 O
5.381 5.473 3.882 O
9.921 3.788 4.792 O
3.240 1.886 3.443 O
7.779 2.188 1.552 O
3.390 -0.090 -0.064 Rh
1.595 2.992 -0.064 Rh
1.595 0.929 2.845 Rh
5.045 2.937 2.083 Ac
8.116 4.724 3.351 Ac
0.000 0.000 0.000 Zr
```

No. 3
## Ac2ZrRhO6 (PBE)

Data for crystalline Ac2ZrRhO6 at its relaxed geometry.

The symmetry is P4/mmm (123). For the uncorrected formation energy, the calculation gives -2620 meV/atom. As for the total moment: 0.00 μB/f.u. The value obtained for the total energy is -8.01 eV/atom.

POSCAR file:
```
Ac2ZrRhO6
1.0
-3.580 -1.758 1.292
1.007 -3.534 -2.017
3.801 -2.774 6.760
O Ac Rh Zr
6 2 1 1
Cartesian
-0.333 -3.341 1.332 O
-1.790 -0.879 0.646 O
2.404 -3.154 2.371 O
1.562 -4.725 4.703 O
0.504 -1.767 -1.008 O
0.111 -2.266 4.026 O
2.732 -1.994 4.858 Ac
1.069 -0.781 1.902 Ac
0.614 -4.033 3.017 Rh
-1.286 -2.646 -0.363 Zr
```

No. 4
## AcZrRhO6 (PBE)

Data for crystalline AcZrRhO6 at its relaxed geometry.

The symmetry is P-31c (163). For the uncorrected formation energy, the calculation gives -2259 meV/atom. As for the total moment: 2.02 μB/f.u. The value obtained for the total energy is -7.79 eV/atom.

POSCAR file:
```
AcZrRhO6
1.0
5.409 0.000 0.000
-2.705 4.685 0.000
0.000 0.000 10.783
Ac O Rh Zr
2 12 2 2
Cartesian
0.000 0.000 5.392 Ac
0.000 0.000 0.000 Ac
3.627 2.924 3.826 O
1.063 1.679 3.826 O
-0.719 4.603 6.958 O
0.719 4.603 9.217 O
-0.923 1.760 6.958 O
0.923 1.760 9.217 O
1.641 3.006 6.958 O
3.424 0.081 3.826 O
1.986 0.081 1.566 O
1.782 2.924 1.566 O
4.346 1.679 1.566 O
-1.641 3.006 9.217 O
0.000 3.123 8.088 Rh
2.705 1.562 2.696 Rh
2.705 1.562 8.088 Zr
0.000 3.123 2.696 Zr
```

No. 5
## Ac3RuO7 (PBE)

Data for crystalline Ac3RuO7 at its relaxed geometry.

The symmetry is Cmcm (63). For the uncorrected formation energy, the calculation gives -2640 meV/atom. As for the total moment: 3.00 μB/f.u. The value obtained for the total energy is -7.76 eV/atom.

POSCAR file:
```
Ac3RuO7
1.0
6.968 -0.177 0.000
-2.566 6.481 0.000
0.000 0.000 7.884
O Ac Ru
14 6 2
Cartesian
0.257 2.836 0.321 O
0.257 2.836 3.621 O
2.574 1.219 3.621 O
1.870 2.677 5.913 O
5.575 0.472 1.971 O
2.533 3.627 1.971 O
4.145 3.468 7.563 O
1.828 5.086 7.563 O
5.879 0.908 5.913 O
-1.173 5.832 5.913 O
4.145 3.468 4.263 O
-1.477 5.397 1.971 O
1.828 5.086 4.263 O
2.574 1.219 0.321 O
0.000 0.000 0.000 Ac
0.000 0.000 3.942 Ac
0.917 5.727 1.971 Ac
5.061 2.833 1.971 Ac
-0.658 3.471 5.913 Ac
3.486 0.578 5.913 Ac
2.201 3.152 3.942 Ru
2.201 3.152 0.000 Ru
```

No. 6
## Ac2RuO5 (PBE)

Data for crystalline Ac2RuO5 at its relaxed geometry.

The symmetry is C2 (5). For the uncorrected formation energy, the calculation gives -2366 meV/atom. As for the total moment: 2.49 μB/f.u. The excess energy over the best structure of this formula in the dataset comes out at 76 meV/atom. The value obtained for the total energy is -7.65 eV/atom.

POSCAR file:
```
Ac2RuO5
1.0
-2.323 -2.403 4.636
4.747 -4.387 0.649
-0.729 6.454 0.162
O Ru Ac
5 1 2
Cartesian
3.498 -3.282 1.414 O
2.308 -2.082 4.251 O
-0.708 -1.729 4.810 O
-0.041 -1.358 1.542 O
1.251 0.458 3.504 O
1.481 -0.603 5.252 Ru
2.366 -1.060 1.822 Ac
-1.164 0.156 3.223 Ac
```

No. 7
## Ac3Ru2O9 (PBE)

Data for crystalline Ac3Ru2O9 at its relaxed geometry.

The symmetry is R-3c (167). For the uncorrected formation energy, the calculation gives -2252 meV/atom. As for the total moment: 3.05 μB/f.u. The value obtained for the total energy is -7.64 eV/atom.

POSCAR file:
```
Ac3Ru2O9
1.0
7.198 -0.077 0.560
0.512 7.181 0.560
-0.084 -0.077 7.220
O Ru Ac
18 4 6
Cartesian
1.998 4.143 3.410 O
3.014 1.652 4.580 O
5.617 4.008 7.413 O
5.790 6.460 1.530 O
6.986 5.270 5.097 O
1.107 6.551 2.436 O
6.520 0.476 5.904 O
0.641 1.757 3.243 O
4.393 2.869 2.294 O
4.613 5.375 3.760 O
4.558 6.532 6.255 O
1.837 0.567 6.810 O
6.719 1.784 1.319 O
0.908 5.242 7.020 O
5.629 2.883 4.929 O
3.234 4.157 6.046 O
3.069 0.495 2.085 O
2.010 3.018 0.927 O
5.025 4.630 5.495 Ru
1.212 1.116 1.325 Ru
2.602 2.397 2.845 Ru
6.415 5.910 7.015 Ru
2.215 6.450 4.927 Ac
0.813 2.860 5.695 Ac
5.412 0.576 3.413 Ac
6.814 4.167 2.645 Ac
4.318 1.680 7.023 Ac
3.309 5.347 1.317 Ac
```

No. 8
## AcRu4O12 (PBE)

Data for crystalline AcRu4O12 at its relaxed geometry.

The symmetry is Im-3 (204). For the uncorrected formation energy, the calculation gives -1113 meV/atom. As for the total moment: 2.08 μB/f.u. The value obtained for the total energy is -7.04 eV/atom.

POSCAR file:
```
AcRu4O12
1.0
-0.457 -2.352 6.175
6.181 -0.835 -2.229
-1.502 6.451 -0.023
Ru O Ac
4 12 1
Cartesian
3.090 -0.418 -1.114 Ru
-0.751 3.225 -0.011 Ru
-0.228 -1.176 3.088 Ru
2.111 1.632 1.962 Ru
5.170 -1.119 2.392 O
0.852 2.404 0.705 O
3.529 2.832 1.406 O
-0.201 2.303 5.325 O
1.234 -1.703 4.246 O
2.557 0.336 0.591 O
3.369 0.860 3.219 O
2.988 4.966 -0.323 O
1.664 2.928 3.333 O
-0.948 4.383 1.532 O
4.423 0.961 -1.401 O
0.693 0.432 2.517 O
0.000 0.000 0.000 Ac
```

No. 9
## Ac3RuO6 (PBE)

Data for crystalline Ac3RuO6 at its relaxed geometry.

The symmetry is R-3 (148). For the uncorrected formation energy, the calculation gives -2656 meV/atom. As for the total moment: 1.00 μB/f.u. The excess energy over the best structure of this formula in the dataset comes out at 0 meV/atom. The value obtained for the total energy is -7.79 eV/atom.

POSCAR file:
```
Ac3RuO6
1.0
-0.797 -1.576 6.796
-5.185 -4.048 -2.455
5.278 -4.439 -1.318
O Ac Ru
12 6 2
Cartesian
1.631 -4.115 1.755 O
0.974 -6.425 0.449 O
-4.861 -4.587 -0.453 O
-0.820 -4.652 -0.602 O
0.116 -5.411 3.625 O
3.486 -5.504 -1.559 O
0.456 -3.035 5.955 O
-4.191 -4.558 4.582 O
-1.678 -3.638 2.573 O
-1.160 -7.028 -2.932 O
-2.335 -5.947 1.268 O
4.157 -5.475 3.476 O
2.002 -6.719 2.727 Ac
1.593 -3.944 -0.704 Ac
-2.706 -3.343 0.295 Ac
-2.297 -6.118 3.726 Ac
0.420 -2.633 3.388 Ac
-1.124 -7.429 -0.366 Ac
-0.352 -5.031 1.511 Ru
0.000 0.000 0.000 Ru
```

No. 10
## AcRuO (PBE)

Data for crystalline AcRuO at its relaxed geometry.

The symmetry is P4/nmm (129). For the uncorrected formation energy, the calculation gives -1592 meV/atom. As for the total moment: 0.00 μB/f.u. The value obtained for the total energy is -7.71 eV/atom.

POSCAR file:
```
AcRuO
1.0
-3.061 -1.678 -0.758
-0.718 -0.265 3.489
-4.280 7.934 -0.278
Ru O Ac
2 2 2
Cartesian
-3.085 3.481 0.544 Ru
-4.974 2.509 1.909 Ru
-1.772 0.249 2.397 O
-6.287 5.741 0.056 O
-4.809 5.880 2.200 Ac
-3.250 0.110 0.253 Ac
```

No. 11
## Ac2RuO5 (PBE)

Data for crystalline Ac2RuO5 at its relaxed geometry.

The symmetry is Pnma (62). For the uncorrected formation energy, the calculation gives -2442 meV/atom. As for the total moment: 2.03 μB/f.u. The excess energy over the best structure of this formula in the dataset comes out at 0 meV/atom. The value obtained for the total energy is -7.73 eV/atom.

POSCAR file:
```
Ac2RuO5
1.0
-3.215 2.527 -3.784
3.632 -3.460 -5.395
-7.418 -8.629 0.540
Ac O Ru
8 20 4
Cartesian
0.985 -2.309 -4.429 Ac
-3.630 -6.029 -7.093 Ac
-7.986 -7.253 -4.210 Ac
-3.371 -3.533 -1.546 Ac
-2.678 -2.508 -5.551 Ac
-3.200 -9.590 -5.736 Ac
-4.323 -7.055 -3.088 Ac
-3.801 0.028 -2.903 Ac
-6.326 -7.957 -1.989 O
-5.571 -4.515 -2.344 O
-3.501 -4.781 -4.320 O
-1.607 1.263 -1.892 O
-4.273 -9.920 -3.033 O
-2.729 0.357 -5.606 O
-6.076 -5.774 -4.846 O
-1.152 -0.882 -3.750 O
-0.675 -1.605 -6.650 O
-4.838 -8.177 -7.501 O
-2.163 -1.386 -1.138 O
-1.430 -5.048 -6.295 O
-4.455 -2.159 -3.809 O
-5.849 -8.680 -4.889 O
-3.007 -3.808 -8.152 O
-0.926 -3.788 -3.794 O
-2.547 -7.403 -4.830 O
-1.893 -6.044 -2.428 O
-3.994 -5.754 -0.488 O
0.000 0.000 0.000 O
-1.614 -5.533 -4.374 Ru
-0.582 -0.490 -1.884 Ru
-6.419 -9.072 -6.756 Ru
-5.387 -4.029 -4.265 Ru
```

No. 12
## Ac3RuO6 (PBE)

Data for crystalline Ac3RuO6 at its relaxed geometry.

The symmetry is P2_1/c (14). For the uncorrected formation energy, the calculation gives -2557 meV/atom. As for the total moment: 1.01 μB/f.u. The excess energy over the best structure of this formula in the dataset comes out at 99 meV/atom. The value obtained for the total energy is -7.69 eV/atom.

POSCAR file:
```
Ac3RuO6
1.0
-2.442 1.108 -5.404
-3.272 -5.299 0.392
-6.243 4.170 4.276
O Ac Ru
12 6 2
Cartesian
-7.221 0.528 1.279 O
-10.183 0.993 -0.171 O
-4.735 -0.549 -2.016 O
-6.045 -1.978 0.418 O
-6.644 -3.147 -3.403 O
-5.312 3.126 2.666 O
-4.264 0.441 0.782 O
-8.239 3.675 0.174 O
-3.717 -3.696 -0.911 O
-7.692 -0.462 -1.519 O
-5.911 1.957 -1.154 O
-1.774 -1.014 -0.566 O
-8.527 1.879 -1.862 Ac
-3.122 2.085 2.138 Ac
-2.928 1.274 -1.448 Ac
-2.857 -2.096 -2.506 Ac
-3.429 -1.900 1.125 Ac
-9.028 -1.296 0.711 Ac
-5.978 -0.011 -0.368 Ru
0.000 0.000 0.000 Ru
```

No. 13
## Ac4RuO10 (PBE)

Data for crystalline Ac4RuO10 at its relaxed geometry.

The symmetry is I4/m (87). For the uncorrected formation energy, the calculation gives -2229 meV/atom. As for the total moment: 4.09 μB/f.u. The value obtained for the total energy is -7.25 eV/atom.

POSCAR file:
```
Ac4RuO10
1.0
5.304 0.000 2.395
2.652 6.354 1.198
0.037 0.000 6.989
O Ru Ac
10 1 4
Cartesian
0.439 0.508 2.016 O
3.502 0.508 3.399 O
6.627 4.698 3.550 O
5.323 3.177 5.890 O
4.430 1.656 8.415 O
1.367 1.656 7.032 O
4.492 5.846 7.183 O
3.564 4.698 2.167 O
2.671 3.177 4.692 O
7.555 5.846 8.566 O
0.000 0.000 0.000 Ru
2.129 2.550 2.356 Ac
4.255 5.084 4.720 Ac
3.739 1.271 5.862 Ac
5.864 3.804 8.226 Ac
```

No. 14
## AcRu2O8 (PBE)

Data for crystalline AcRu2O8 at its relaxed geometry.

The symmetry is C2/m (12). For the uncorrected formation energy, the calculation gives -1299 meV/atom. As for the total moment: 3.05 μB/f.u. The excess energy over the best structure of this formula in the dataset comes out at 0 meV/atom. The value obtained for the total energy is -6.96 eV/atom.

POSCAR file:
```
AcRu2O8
1.0
6.340 0.153 1.251
1.138 5.140 2.912
0.648 0.780 5.930
Ru O Ac
2 8 1
Cartesian
2.348 1.287 2.241 Ru
5.778 4.785 7.851 Ru
4.116 1.046 2.180 O
5.791 3.412 3.461 O
2.587 4.895 5.084 O
6.339 3.789 6.504 O
4.011 5.026 7.912 O
1.788 2.283 3.588 O
5.540 1.177 5.008 O
2.335 2.660 6.631 O
0.000 0.000 0.000 Ac
```

No. 15
## AcRuO4 (PBE)

Data for crystalline AcRuO4 at its relaxed geometry.

The symmetry is Cmc2_1 (36). For the uncorrected formation energy, the calculation gives -1985 meV/atom. As for the total moment: 2.01 μB/f.u. The value obtained for the total energy is -7.52 eV/atom.

POSCAR file:
```
AcRuO4
1.0
-1.681 1.834 3.076
-4.100 -4.044 0.170
4.915 -4.857 3.038
O Ru Ac
8 2 2
Cartesian
0.267 -0.527 3.005 O
2.115 -2.710 2.771 O
-2.436 -3.730 0.892 O
-2.403 -1.120 1.899 O
0.535 -4.894 3.210 O
-1.612 -3.006 3.456 O
-0.046 -7.507 4.450 O
1.489 -3.417 5.395 O
2.249 -4.379 3.840 Ru
-3.323 -2.892 2.453 Ru
-0.056 -2.553 1.491 Ac
-1.429 -5.125 4.818 Ac
```

No. 16
## Ac3RuO8 (PBE)

Data for crystalline Ac3RuO8 at its relaxed geometry.

The symmetry is P6_3mc (186). For the uncorrected formation energy, the calculation gives -2318 meV/atom. As for the total moment: 1.05 μB/f.u. The value obtained for the total energy is -7.42 eV/atom.

POSCAR file:
```
Ac3RuO8
1.0
-2.765 -3.103 5.370
-6.539 -1.005 -3.948
5.520 -5.368 -0.259
Ac O Ru
6 16 2
Cartesian
1.560 -6.832 2.917 Ac
-2.338 -5.057 -2.357 Ac
-5.100 -2.371 -2.228 Ac
-1.828 -1.868 -0.252 Ac
-1.712 -7.335 0.942 Ac
-1.202 -4.146 3.047 Ac
-2.464 -4.482 0.332 O
-4.393 -2.606 0.423 O
-4.749 -4.834 -1.048 O
-1.368 -1.535 2.656 O
2.170 -5.394 0.592 O
-0.260 -5.889 1.929 O
-2.897 -2.883 -1.985 O
-0.277 -5.771 -0.885 O
-2.636 -6.471 3.387 O
-0.707 -8.347 3.297 O
-0.351 -6.120 4.767 O
-3.794 -4.027 2.604 O
-6.241 -4.403 1.127 O
0.105 -3.386 0.689 O
-2.750 -3.086 5.341 O
-4.175 -6.412 1.030 O
-4.328 -4.489 0.794 Ru
1.075 -4.392 -0.661 Ru
```

No. 17
## AcRu2O8 (PBE)

Data for crystalline AcRu2O8 at its relaxed geometry.

The symmetry is P4/mmm (123). For the uncorrected formation energy, the calculation gives -921 meV/atom. As for the total moment: 0.00 μB/f.u. The excess energy over the best structure of this formula in the dataset comes out at 377 meV/atom. The value obtained for the total energy is -6.59 eV/atom.

POSCAR file:
```
AcRu2O8
1.0
-0.182 -4.415 1.929
3.999 -1.215 -2.404
3.361 1.887 4.638
O Ru Ac
8 2 1
Cartesian
3.567 -2.100 4.613 O
3.518 -3.882 0.528 O
5.595 -2.716 3.394 O
3.660 0.139 3.635 O
1.583 -1.027 0.769 O
3.611 -1.643 -0.449 O
5.687 -0.478 2.416 O
1.491 -3.266 1.747 O
2.000 -0.608 -1.202 Ru
-0.091 -2.208 0.964 Ru
3.589 -1.872 2.082 Ac
```